Entry 1:
This record from Alexandria via LeMat-Bulk describes a geometry-optimized LiCoPt2Pb structure. The functional is PBE.

Cell lengths 4.274, 4.670, 4.274 Å; angles 90.00, 90.00, 90.00 degrees
Site moments in Bohr magnetons follow the coordinates.
Element x y z (fractional)
Pt 0.000 0.000 0.500  0.09
Pt 0.500 0.000 0.000  0.02
Li 0.000 0.000 0.000  0.00
Pb 0.000 0.500 0.000  -0.01
Co 0.500 0.500 0.500  1.91

Properties
E, eV for the cell shown: -21.60
ΔH_f (0 K), eV/atom: 0.642

---

Entry 2:
This record from Alexandria via LeMat-Bulk describes a geometry-optimized SmPu2Ga6 structure. The functional is PBE.

Cell lengths 4.429, 7.703, 7.703 Å; angles 55.21, 73.12, 73.12 degrees
Site moments in Bohr magnetons follow the coordinates.
Element x y z (fractional)
Ga 0.188 0.118 0.507  -0.01
Ga 0.812 0.882 0.493  -0.01
Ga 0.000 0.193 0.807  -0.04
Ga 0.812 0.493 0.882  -0.01
Ga 0.188 0.507 0.118  -0.01
Ga 0.000 0.807 0.193  -0.04
Pu 0.381 0.118 0.118  5.26
Pu 0.619 0.882 0.882  5.26
Sm 0.500 0.500 0.500  0.08

Properties
E, eV for the cell shown: -54.23
ΔH_f (0 K), eV/atom: -0.298

---

Entry 3:
This record from Alexandria via LeMat-Bulk describes a geometry-optimized Ba6Tl2PtI3 structure. The functional is PBE.

Cell lengths 8.331, 8.331, 9.372 Å; angles 98.53, 98.53, 119.86 degrees
Element x y z (fractional)
Ba 0.619 0.927 0.782
Ba 0.234 0.234 0.781
Ba 0.381 0.073 0.218
Ba 0.927 0.619 0.782
Ba 0.073 0.381 0.218
Ba 0.766 0.766 0.219
I 0.168 0.832 0.500
I 0.832 0.168 0.500
I 0.500 0.500 0.500
Tl 0.666 0.334 0.000
Tl 0.334 0.666 0.000
Pt 0.000 0.000 0.000

Properties
E, eV for the cell shown: -38.22

---

Entry 4:
This record from Alexandria via LeMat-Bulk describes a geometry-optimized LaYNi structure. The functional is PBE.

Cell lengths 4.442, 7.019, 5.520 Å; angles 109.31, 90.00, 90.00 degrees
Element x y z (fractional)
Ni 0.250 0.958 0.634
Ni 0.750 0.042 0.366
La 0.750 0.688 0.489
La 0.250 0.312 0.511
Y 0.750 0.182 0.936
Y 0.250 0.818 0.064

Properties
E, eV for the cell shown: -35.71
ΔH_f (0 K), eV/atom: -0.227
Polymorph energy (0 for the lowest one), meV/atom: 0.0

---

Entry 5:
This record from Alexandria via LeMat-Bulk describes a geometry-optimized V5Mo2 structure. The functional is PBE.

Cell lengths 5.033, 5.907, 7.219 Å; angles 88.83, 110.40, 90.00 degrees
Element x y z (fractional)
Mo 0.701 0.605 0.149
Mo 0.552 0.895 0.851
Mo 0.299 0.395 0.851
Mo 0.448 0.105 0.149
V 0.731 0.534 0.712
V 0.269 0.466 0.288
V 0.981 0.034 0.712
V 0.586 0.819 0.435
V 0.884 0.250 0.000
V 0.414 0.181 0.565
V 0.116 0.750 0.000
V 0.151 0.681 0.565
V 0.019 0.966 0.288
V 0.849 0.319 0.435

Properties
E, eV for the cell shown: -133.08
ΔH_f (0 K), eV/atom: 0.102

---

Entry 6:
This record from Alexandria via LeMat-Bulk describes a geometry-optimized Ho5CuPb4 structure. The functional is PBE.

Cell lengths 6.237, 7.532, 7.532 Å; angles 80.13, 65.54, 65.54 degrees
Element x y z (fractional)
Pb 0.179 0.199 0.387
Pb 0.379 0.387 0.801
Pb 0.566 0.613 0.199
Pb 0.766 0.801 0.613
Ho 0.268 0.804 0.615
Ho 0.072 0.615 0.196
Ho 0.687 0.196 0.385
Ho 0.883 0.385 0.804
Ho 0.608 0.000 0.000
Cu 0.103 0.000 0.000

Properties
E, eV for the cell shown: -44.08
ΔH_f (0 K), eV/atom: -0.226

---

Entry 7:
This record from Alexandria via LeMat-Bulk describes a geometry-optimized Sr2ReGe4 structure. The functional is PBE.

Cell lengths 4.815, 4.815, 8.691 Å; angles 73.92, 73.92, 90.00 degrees
Element x y z (fractional)
Ge 0.160 0.160 0.679
Ge 0.840 0.840 0.321
Ge 0.000 0.500 0.000
Ge 0.500 0.000 0.000
Sr 0.648 0.648 0.704
Sr 0.352 0.352 0.296
Re 0.000 0.000 0.000

Properties
E, eV for the cell shown: -34.86
ΔH_f (0 K), eV/atom: -0.083

---

Entry 8:
This record from Alexandria via LeMat-Bulk describes a geometry-optimized FeAu2 structure. The functional is PBE.

Cell lengths 4.576, 4.576, 2.729 Å; angles 90.00, 90.00, 90.00 degrees
Site moments in Bohr magnetons follow the coordinates.
Element x y z (fractional)
Au 0.000 0.500 0.500  0.06
Au 0.500 0.000 0.500  0.06
Fe 0.000 0.000 0.000  2.86

Properties
E, eV for the cell shown: -14.26
ΔH_f (0 K), eV/atom: 0.253

---

Entry 9:
This record from Alexandria via LeMat-Bulk describes a geometry-optimized Te2RhBr structure. The functional is PBE.

Cell lengths 7.482, 6.196, 6.196 Å; angles 72.52, 110.33, 69.67 degrees
Element x y z (fractional)
Rh 0.750 0.182 0.682
Rh 0.250 0.818 0.318
Te 0.952 0.714 0.096
Te 0.452 0.404 0.786
Te 0.048 0.286 0.904
Te 0.548 0.596 0.214
Br 0.250 0.068 0.568
Br 0.750 0.932 0.432

Properties
E, eV for the cell shown: -31.75

---

Entry 10:
This record from Alexandria via LeMat-Bulk describes a geometry-optimized TlIn6Sn3 structure. The functional is PBE.

Cell lengths 4.581, 9.627, 13.297 Å; angles 90.00, 90.00, 90.00 degrees
Element x y z (fractional)
In 0.000 0.263 0.765
In 0.000 0.956 0.668
In 0.500 0.544 0.168
In 0.500 0.456 0.832
In 0.500 0.067 0.832
In 0.000 0.567 0.668
In 0.000 0.044 0.332
In 0.000 0.433 0.332
In 0.500 0.763 0.735
In 0.500 0.237 0.265
In 0.500 0.933 0.168
In 0.000 0.737 0.235
Sn 0.500 0.258 0.034
Sn 0.500 0.742 0.966
Sn 0.500 0.000 0.500
Sn 0.000 0.758 0.466
Sn 0.000 0.242 0.534
Sn 0.000 0.500 0.000
Tl 0.000 0.000 0.000
Tl 0.500 0.500 0.500

Properties
E, eV for the cell shown: -59.78
ΔH_f (0 K), eV/atom: 0.092

---

Entry 11:
This record from Alexandria via LeMat-Bulk describes a geometry-optimized K8SbSe2 structure. The functional is PBE.

Cell lengths 5.396, 8.854, 10.146 Å; angles 115.87, 105.42, 90.00 degrees
Element x y z (fractional)
Se 0.797 0.297 0.594
Se 0.203 0.703 0.406
K 0.343 0.556 0.686
K 0.847 0.847 0.695
K 0.657 0.444 0.314
K 0.153 0.153 0.305
K 0.343 0.130 0.686
K 0.000 0.296 0.000
K 0.000 0.704 0.000
K 0.657 0.870 0.314
Sb 0.500 0.000 0.000

Properties
E, eV for the cell shown: -26.99

---

Entry 12:
This record from Alexandria via LeMat-Bulk describes a geometry-optimized Ho3B2Rh9Pb structure. The functional is PBE.

Cell lengths 5.828, 5.828, 9.189 Å; angles 90.00, 90.00, 120.00 degrees
Element x y z (fractional)
Rh 0.160 0.840 0.257
Rh 0.680 0.840 0.257
Rh 0.840 0.160 0.743
Rh 0.500 0.500 0.000
Rh 0.840 0.680 0.743
Rh 0.320 0.160 0.743
Rh 0.160 0.320 0.257
Rh 0.000 0.500 0.000
Rh 0.500 0.000 0.000
Ho 0.333 0.667 0.724
Ho 0.000 0.000 0.000
Ho 0.667 0.333 0.276
B 0.333 0.667 0.143
B 0.667 0.333 0.857
Pb 0.000 0.000 0.500

Properties
E, eV for the cell shown: -105.11
ΔH_f (0 K), eV/atom: -0.543

---

Entry 13:
This record from Alexandria via LeMat-Bulk describes a geometry-optimized PmPrTe3 structure. The functional is PBE.

Cell lengths 8.333, 7.468, 11.651 Å; angles 90.00, 90.00, 90.00 degrees
Element x y z (fractional)
Te 0.559 0.169 0.750
Te 0.175 0.841 0.587
Te 0.059 0.331 0.750
Te 0.441 0.831 0.250
Te 0.825 0.159 0.087
Te 0.325 0.341 0.413
Te 0.941 0.669 0.250
Te 0.325 0.341 0.087
Te 0.675 0.659 0.913
Te 0.825 0.159 0.413
Te 0.675 0.659 0.587
Te 0.175 0.841 0.913
Pm 0.380 0.555 0.750
Pm 0.120 0.055 0.250
Pm 0.620 0.445 0.250
Pm 0.880 0.945 0.750
Pr 0.500 0.000 0.500
Pr 0.000 0.500 0.500
Pr 0.000 0.500 0.000
Pr 0.500 0.000 0.000

Properties
E, eV for the cell shown: -103.12
Polymorph energy (0 for the lowest one), meV/atom: 14.3

---

Entry 14:
This record from Alexandria via LeMat-Bulk describes a geometry-optimized CoGe structure. The functional is PBE.

Cell lengths 4.633, 4.633, 4.633 Å; angles 90.00, 90.00, 90.00 degrees
Element x y z (fractional)
Co 0.137 0.137 0.137
Co 0.363 0.863 0.637
Co 0.637 0.363 0.863
Co 0.863 0.637 0.363
Ge 0.339 0.661 0.161
Ge 0.839 0.839 0.839
Ge 0.161 0.339 0.661
Ge 0.661 0.161 0.339

Properties
E, eV for the cell shown: -48.61
ΔH_f (0 K), eV/atom: -0.215

---

Entry 15:
This record from Alexandria via LeMat-Bulk describes a geometry-optimized Tb7Dy3Y2 structure. The functional is PBE.

Cell lengths 3.519, 6.339, 17.888 Å; angles 75.50, 90.00, 90.00 degrees
Element x y z (fractional)
Y 0.500 0.386 0.672
Y 0.500 0.614 0.328
Tb 0.000 0.000 0.000
Tb 0.500 0.058 0.168
Tb 0.500 0.942 0.832
Tb 0.500 0.758 0.498
Tb 0.000 0.561 0.165
Tb 0.000 0.439 0.835
Tb 0.500 0.242 0.502
Dy 0.500 0.500 0.000
Dy 0.000 0.109 0.342
Dy 0.000 0.891 0.658

Properties
E, eV for the cell shown: -58.23
ΔH_f (0 K), eV/atom: 0.076
Polymorph energy (0 for the lowest one), meV/atom: 0.0

---

Entry 16:
This record from Alexandria via LeMat-Bulk describes a geometry-optimized CsLiHo2I8 structure. The functional is PBE.

Cell lengths 7.851, 7.851, 11.819 Å; angles 70.60, 70.60, 60.00 degrees
Element x y z (fractional)
Ho 0.741 0.741 0.776
Ho 0.259 0.259 0.224
I 0.275 0.923 0.164
I 0.172 0.172 0.484
I 0.638 0.275 0.164
I 0.725 0.077 0.836
I 0.923 0.638 0.164
I 0.077 0.362 0.836
I 0.362 0.725 0.836
I 0.828 0.828 0.516
Li 0.000 0.000 0.000
Cs 0.500 0.500 0.500

Properties
E, eV for the cell shown: -39.67

---

Entry 17:
This record from Alexandria via LeMat-Bulk describes a geometry-optimized PSeBr2O structure. The functional is PBE.

Cell lengths 5.009, 5.009, 4.948 Å; angles 90.00, 90.00, 90.00 degrees
Site moments in Bohr magnetons follow the coordinates.
Element x y z (fractional)
Br 0.000 0.500 0.000  0.05
Br 0.500 0.000 0.000  0.05
O 0.500 0.500 0.500  -0.32
P 0.000 0.000 0.000  -0.01
Se 0.000 0.000 0.500  0.54

Properties
E, eV for the cell shown: -12.88
Polymorph energy (0 for the lowest one), meV/atom: 0.0

---

Entry 18:
This record from Alexandria via LeMat-Bulk describes a geometry-optimized LaZn2Au structure. The functional is PBE.

Cell lengths 4.341, 4.346, 4.813 Å; angles 90.00, 90.00, 90.00 degrees
Element x y z (fractional)
Zn 0.000 0.000 0.000
Zn 0.500 0.500 0.000
Au 0.500 0.000 0.500
La 0.000 0.500 0.500

Properties
E, eV for the cell shown: -11.99
ΔH_f (0 K), eV/atom: -0.308

---

Entry 19:
This record from Alexandria via LeMat-Bulk describes a geometry-optimized LiTiZn5 structure. The functional is PBE.

Cell lengths 4.470, 4.470, 5.827 Å; angles 90.00, 90.00, 97.86 degrees
Element x y z (fractional)
Zn 0.500 0.000 0.237
Zn 0.000 0.500 0.763
Zn 0.500 0.000 0.763
Zn 0.000 0.500 0.237
Zn 0.000 0.000 0.500
Li 0.500 0.500 0.500
Ti 0.000 0.000 0.000

Properties
E, eV for the cell shown: -16.19
ΔH_f (0 K), eV/atom: -0.002

---

Entry 20:
This record from Alexandria via LeMat-Bulk describes a geometry-optimized CdTe2S2 structure. The functional is PBE.

Cell lengths 8.513, 8.513, 4.305 Å; angles 90.00, 90.00, 90.00 degrees
Element x y z (fractional)
Cd 0.500 0.500 0.000
Cd 0.000 0.000 0.000
S 0.336 0.164 0.500
S 0.836 0.336 0.500
S 0.164 0.664 0.500
S 0.664 0.836 0.500
Te 0.773 0.727 0.000
Te 0.727 0.227 0.000
Te 0.273 0.773 0.000
Te 0.227 0.273 0.000

Properties
E, eV for the cell shown: -29.26
Polymorph energy (0 for the lowest one), meV/atom: 160.9

---

Entry 21:
This record from Alexandria via LeMat-Bulk describes a geometry-optimized CsTeH2 structure. The functional is PBE.

Cell lengths 5.045, 6.401, 9.422 Å; angles 90.00, 122.22, 90.00 degrees
Element x y z (fractional)
Cs 0.500 0.500 0.500
Cs 0.500 0.000 0.000
Te 0.000 0.500 0.000
Te 0.000 0.000 0.500
H 0.586 0.000 0.500
H 0.414 0.500 0.000
H 0.586 0.500 0.000
H 0.414 0.000 0.500

Properties
E, eV for the cell shown: -23.74
Polymorph energy (0 for the lowest one), meV/atom: 129.4

---

Entry 22:
This record from Alexandria via LeMat-Bulk describes a geometry-optimized Ho2Tm5Cu4 structure. The functional is PBE.

Cell lengths 3.540, 6.665, 13.114 Å; angles 116.97, 97.76, 90.00 degrees
Element x y z (fractional)
Tm 0.103 0.830 0.205
Tm 0.870 0.630 0.739
Tm 0.130 0.370 0.261
Tm 0.897 0.170 0.795
Tm 0.500 0.000 0.000
Cu 0.321 0.266 0.643
Cu 0.980 0.635 0.960
Cu 0.020 0.365 0.040
Cu 0.679 0.734 0.357
Ho 0.274 0.777 0.547
Ho 0.726 0.223 0.453

Properties
E, eV for the cell shown: -48.15
ΔH_f (0 K), eV/atom: -0.023

---

Entry 23:
This record from Alexandria via LeMat-Bulk describes a geometry-optimized PmMgSiHg structure. The functional is PBE.

Cell lengths 5.046, 5.046, 5.046 Å; angles 60.00, 60.00, 60.00 degrees
Element x y z (fractional)
Hg 0.750 0.750 0.750
Si 0.250 0.250 0.250
Mg 0.500 0.500 0.500
Pm 0.000 0.000 0.000

Properties
E, eV for the cell shown: -13.23